First-principles (GGA-PBE) data for an optimized crystal structure of AgSbTeI2, as listed in Alexandria.

Magnetic moment = 0.000 μB per atom
Energy above the lowest structure with this stoichiometry = 0 meV/atom

a b c (Å): 6.0094 6.0094 5.7812
angles (deg): 90.00 90.00 90.00
Space group P4/mmm (No. 123)
Symmetry-distinct sites (fractional):
Ag 0.0000 0.0000 0.0000 (multiplicity 1)
Sb 0.5000 0.5000 0.5000 (multiplicity 1)
Te 0.5000 0.5000 0.0000 (multiplicity 1)
I 0.0000 0.5000 0.5000 (multiplicity 2)

=====

First-principles (GGA-PBE) data for an optimized crystal structure of TiAgSbI2, as listed in Alexandria.

Magnetic moment = 0.000 μB per atom
Energy above the lowest structure with this stoichiometry = 0 meV/atom

a b c (Å): 5.3964 5.3964 5.5716
angles (deg): 90.00 90.00 90.00
Space group P4/mmm (No. 123)
Symmetry-distinct sites (fractional):
Ti 0.0000 0.0000 0.0000 (multiplicity 1)
Ag 0.5000 0.5000 0.5000 (multiplicity 1)
Sb 0.0000 0.0000 0.5000 (multiplicity 1)
I 0.0000 0.5000 0.0000 (multiplicity 2)

=====

First-principles (GGA-PBE) data for an optimized crystal structure of TiAgSb2I, as listed in Alexandria.

Magnetic moment = 0.000 μB per atom
Energy above the lowest structure with this stoichiometry = 0 meV/atom

a b c (Å): 5.2639 5.2639 5.6461
angles (deg): 90.00 90.00 90.00
Space group P4/mmm (No. 123)
Symmetry-distinct sites (fractional):
Ti 0.0000 0.0000 0.0000 (multiplicity 1)
Ag 0.5000 0.5000 0.5000 (multiplicity 1)
Sb 0.0000 0.5000 0.0000 (multiplicity 2)
I 0.0000 0.0000 0.5000 (multiplicity 1)

=====

First-principles (GGA-PBE) data for an optimized crystal structure of TlAg2SbI6, as listed in Alexandria.

Magnetic moment = 0.000 μB per atom

a b c (Å): 15.2596 14.4286 8.0560
angles (deg): 90.00 99.10 90.00
Space group C2/c (No. 15)
Symmetry-distinct sites (fractional):
Tl 0.0000 0.0820 0.2500 (multiplicity 4)
Ag 0.1010 0.4188 0.2768 (multiplicity 8)
Sb 0.0000 0.2558 0.7500 (multiplicity 4)
I 0.1201 0.2586 0.0946 (multiplicity 8)
I 0.1237 0.1167 0.6505 (multiplicity 8)
I 0.1277 0.4110 0.6276 (multiplicity 8)

=====

First-principles (GGA-PBE) data for an optimized crystal structure of VAgSbI2, as listed in Alexandria.

Magnetic moment = 0.873 μB per atom
Energy above the lowest structure with this stoichiometry = 336 meV/atom

a b c (Å): 6.1921 6.1921 5.1510
angles (deg): 90.00 90.00 90.00
Space group P4/mmm (No. 123)
Symmetry-distinct sites (fractional):
V 0.0000 0.0000 0.0000 (multiplicity 1)
Ag 0.5000 0.5000 0.0000 (multiplicity 1)
Sb 0.5000 0.5000 0.5000 (multiplicity 1)
I 0.0000 0.5000 0.5000 (multiplicity 2)

=====

First-principles (GGA-PBE) data for an optimized crystal structure of VAgSbI2, as listed in Alexandria.

Magnetic moment = 0.001 μB per atom
Energy above the lowest structure with this stoichiometry = 0 meV/atom

a b c (Å): 5.4242 5.4242 5.2041
angles (deg): 90.00 90.00 90.00
Space group P4/mmm (No. 123)
Symmetry-distinct sites (fractional):
V 0.0000 0.0000 0.0000 (multiplicity 1)
Ag 0.5000 0.5000 0.5000 (multiplicity 1)
Sb 0.0000 0.0000 0.5000 (multiplicity 1)
I 0.0000 0.5000 0.0000 (multiplicity 2)

=====

First-principles (GGA-PBE) data for an optimized crystal structure of VAgSbI2, as listed in Alexandria.

Magnetic moment = 0.570 μB per atom
Energy above the lowest structure with this stoichiometry = 418 meV/atom

a b c (Å): 5.6687 5.6687 5.3964
angles (deg): 90.00 90.00 90.00
Space group P4/mmm (No. 123)
Symmetry-distinct sites (fractional):
V 0.0000 0.0000 0.0000 (multiplicity 1)
Ag 0.5000 0.5000 0.5000 (multiplicity 1)
Sb 0.5000 0.5000 0.0000 (multiplicity 1)
I 0.0000 0.5000 0.5000 (multiplicity 2)

=====

First-principles (GGA-PBE) data for an optimized crystal structure of YAgSb2I, as listed in Alexandria.

Magnetic moment = 0.000 μB per atom
Energy above the lowest structure with this stoichiometry = 0 meV/atom

a b c (Å): 5.3182 5.3182 5.6770
angles (deg): 90.00 90.00 90.00
Space group P4/mmm (No. 123)
Symmetry-distinct sites (fractional):
Y 0.0000 0.0000 0.0000 (multiplicity 1)
Ag 0.5000 0.5000 0.5000 (multiplicity 1)
Sb 0.0000 0.5000 0.5000 (multiplicity 2)
I 0.5000 0.5000 0.0000 (multiplicity 1)

=====

First-principles (GGA-PBE) data for an optimized crystal structure of YAgSb2I, as listed in Alexandria.

Magnetic moment = 0.104 μB per atom
Energy above the lowest structure with this stoichiometry = 51 meV/atom

a b c (Å): 5.8837 5.8837 5.8997
angles (deg): 90.00 90.00 90.00
Space group P4/mmm (No. 123)
Symmetry-distinct sites (fractional):
Y 0.0000 0.0000 0.0000 (multiplicity 1)
Ag 0.5000 0.5000 0.5000 (multiplicity 1)
Sb 0.0000 0.5000 0.0000 (multiplicity 2)
I 0.0000 0.0000 0.5000 (multiplicity 1)

=====

First-principles (GGA-PBE) data for an optimized crystal structure of ZnAgSbI2, as listed in Alexandria.

Magnetic moment = 0.210 μB per atom
Energy above the lowest structure with this stoichiometry = 34 meV/atom

a b c (Å): 5.7578 5.7578 5.4763
angles (deg): 90.00 90.00 90.00
Space group P4/mmm (No. 123)
Symmetry-distinct sites (fractional):
Zn 0.0000 0.0000 0.0000 (multiplicity 1)
Ag 0.5000 0.5000 0.5000 (multiplicity 1)
Sb 0.5000 0.5000 0.0000 (multiplicity 1)
I 0.0000 0.5000 0.5000 (multiplicity 2)

=====

First-principles (GGA-PBE) data for an optimized crystal structure of ZnAgSbI2, as listed in Alexandria.

Magnetic moment = 0.000 μB per atom
Energy above the lowest structure with this stoichiometry = 0 meV/atom

a b c (Å): 5.6957 5.6957 5.1988
angles (deg): 90.00 90.00 90.00
Space group P4/mmm (No. 123)
Symmetry-distinct sites (fractional):
Zn 0.0000 0.0000 0.0000 (multiplicity 1)
Ag 0.5000 0.5000 0.5000 (multiplicity 1)
Sb 0.0000 0.0000 0.5000 (multiplicity 1)
I 0.0000 0.5000 0.0000 (multiplicity 2)

=====

First-principles (GGA-PBE) data for an optimized crystal structure of ZrAgSbI2, as listed in Alexandria.

Magnetic moment = 0.000 μB per atom
Energy above the lowest structure with this stoichiometry = 0 meV/atom

a b c (Å): 5.6487 5.6487 5.7948
angles (deg): 90.00 90.00 90.00
Space group P4/mmm (No. 123)
Symmetry-distinct sites (fractional):
Zr 0.0000 0.0000 0.0000 (multiplicity 1)
Ag 0.5000 0.5000 0.5000 (multiplicity 1)
Sb 0.0000 0.0000 0.5000 (multiplicity 1)
I 0.0000 0.5000 0.0000 (multiplicity 2)

=====

| no. | energy (eV/atom) |
| --- | --- |
| 1 | -2.307 |
| 2 | -3.411 |
| 3 | -3.801 |
| 4 | -2.494 |
| 5 | -3.030 |
| 6 | -3.366 |
| 7 | -2.948 |
| 8 | -3.613 |
| 9 | -3.562 |
| 10 | -1.801 |
| 11 | -1.835 |
| 12 | -3.615 |